## AcPm4NdSe8 (GGA-PBE)

Data for AcPm4NdSe8 after structural relaxation.

The space group is R3m (No. 160, hexagonal axes) and the conventional cell measures 8.7331, 8.7331 and 21.4498 Å, with angles of 90.00, 90.00 and 120.00 degrees. The inequivalent atoms are Ac at (0.0000, 0.0000, 0.0000), Pm at (0.0000, 0.0000, 0.7493), Pm at (0.1697, 0.3395, 0.2071), Nd at (0.0000, 0.0000, 0.3768), Se at (0.0000, 0.0000, 0.1377), Se at (0.0000, 0.0000, 0.6178), Se at (0.0161, 0.5080, 0.1274) and Se at (0.1832, 0.3664, 0.9530).

The crystal system is trigonal. As for the formation energy from raw total energies: -1741 meV/atom. The value obtained for the volume is 1416.7 Å³ per cell.

---

## Ac2PmNd3Se6 (GGA-PBE)

Data for Ac2PmNd3Se6 after structural relaxation.

The space group is C2/m (No. 12) and the conventional cell measures 7.4387, 12.9366 and 7.4646 Å, with angles of 90.00, 109.57 and 90.00 degrees. The inequivalent atoms are Ac at (0.0000, 0.1657, 0.0000), Pm at (0.0000, 0.5000, 0.0000), Nd at (0.0000, 0.0000, 0.5000), Nd at (0.0000, 0.3298, 0.5000), Se at (0.2365, 0.5000, 0.7383) and Se at (0.2475, 0.3376, 0.2570).

The crystal system is monoclinic. As for the formation energy from raw total energies: -1838 meV/atom. The value obtained for the volume is 676.8 Å³ per cell.

---

## Ac3PmNd2Se6 (GGA-PBE)

Data for Ac3PmNd2Se6 after structural relaxation.

The space group is C2/m (No. 12) and the conventional cell measures 7.4871, 13.0090 and 7.5546 Å, with angles of 90.00, 109.39 and 90.00 degrees. The inequivalent atoms are Ac at (0.0000, 0.0000, 0.0000), Ac at (0.0000, 0.3325, 0.0000), Pm at (0.0000, 0.5000, 0.5000), Nd at (0.0000, 0.1665, 0.5000), Se at (0.2435, 0.3342, 0.7339) and Se at (0.2468, 0.0000, 0.7350).

The crystal system is monoclinic. As for the formation energy from raw total energies: -1849 meV/atom. The value obtained for the volume is 694.1 Å³ per cell.

---

## Ac3Pm4NdSe8 (GGA-PBE)

Data for Ac3Pm4NdSe8 after structural relaxation.

The space group is R-3m (No. 166, hexagonal axes) and the conventional cell measures 8.5919, 8.5919 and 21.1682 Å, with angles of 90.00, 90.00 and 120.00 degrees. The inequivalent atoms are Ac at (0.0000, 0.5000, 0.0000), Pm at (0.0000, 0.0000, 0.5000), Pm at (0.0000, 0.5000, 0.5000), Nd at (0.0000, 0.0000, 0.0000), Se at (0.0000, 0.0000, 0.2440) and Se at (0.0064, 0.5032, 0.7543).

The crystal system is trigonal. As for the formation energy from raw total energies: -1834 meV/atom. The value obtained for the volume is 1353.1 Å³ per cell.

---

## AcPm4Nd3Se8 (GGA-PBE)

Data for AcPm4Nd3Se8 after structural relaxation.

The space group is R-3m (No. 166, hexagonal axes) and the conventional cell measures 8.4878, 8.4878 and 20.8297 Å, with angles of 90.00, 90.00 and 120.00 degrees. The inequivalent atoms are Ac at (0.0000, 0.0000, 0.0000), Pm at (0.0000, 0.0000, 0.5000), Pm at (0.0000, 0.5000, 0.5000), Nd at (0.0000, 0.5000, 0.0000), Se at (0.0000, 0.0000, 0.2489) and Se at (0.0063, 0.5032, 0.2473).

The crystal system is trigonal. As for the formation energy from raw total energies: -1828 meV/atom. The value obtained for the volume is 1299.6 Å³ per cell.

---

## Ac3Pm2NdSe6 (GGA-PBE)

Data for Ac3Pm2NdSe6 after structural relaxation.

The space group is C2/m (No. 12) and the conventional cell measures 7.4707, 12.9812 and 7.5550 Å, with angles of 90.00, 109.34 and 90.00 degrees. The inequivalent atoms are Ac at (0.0000, 0.0000, 0.0000), Ac at (0.0000, 0.3342, 0.0000), Pm at (0.0000, 0.1667, 0.5000), Nd at (0.0000, 0.5000, 0.5000), Se at (0.2422, 0.0000, 0.7325) and Se at (0.2453, 0.3324, 0.7335).

The crystal system is monoclinic. As for the formation energy from raw total energies: -1847 meV/atom. The value obtained for the volume is 691.3 Å³ per cell.

---

## AcPm3Nd2Se6 (GGA-PBE)

Data for AcPm3Nd2Se6 after structural relaxation.

The space group is C2/m (No. 12) and the conventional cell measures 7.3399, 12.7790 and 7.3876 Å, with angles of 90.00, 109.50 and 90.00 degrees. The inequivalent atoms are Ac at (0.0000, 0.0000, 0.0000), Pm at (0.0000, 0.1640, 0.5000), Pm at (0.0000, 0.5000, 0.5000), Nd at (0.0000, 0.3322, 0.0000), Se at (0.2429, 0.3298, 0.7408) and Se at (0.2438, 0.5000, 0.2551).

The crystal system is monoclinic. As for the formation energy from raw total energies: -1836 meV/atom. The value obtained for the volume is 653.2 Å³ per cell.

---

## Ac2PmNdSe4 (GGA-PBE)

Data for Ac2PmNdSe4 after structural relaxation.

The space group is P2/m (No. 10) and the conventional cell measures 7.4914, 4.2838 and 7.6073 Å, with angles of 90.00, 108.87 and 90.00 degrees. The inequivalent atoms are Ac at (0.0000, 0.0000, 0.0000), Ac at (0.5000, 0.5000, 0.0000), Pm at (0.0000, 0.5000, 0.5000), Nd at (0.5000, 0.0000, 0.5000), Se at (0.2428, 0.0000, 0.7329) and Se at (0.2540, 0.5000, 0.2660).

The crystal system is monoclinic. As for the formation energy from raw total energies: -1844 meV/atom. The value obtained for the volume is 231.0 Å³ per cell.